Below is a relaxed structure of Pm5Y5Ho, with properties calculated at the GGA-PBE level.

* distance to the lowest polymorph of the same formula: 0 meV per atom
* SG: No. 12
* total magnetization: 1.298 μB/cell

a = 9.9274 Å, b = 9.9274 Å, c = 6.9924 Å
α = 109.36°, β = 109.36°, γ = 35.49°
Atoms (fractional coordinates):
Pm 0.0000 0.0000 0.0000
Pm 0.3294 0.3294 0.3222
Pm 0.3754 0.3754 0.8676
Pm 0.6246 0.6246 0.1324
Pm 0.6706 0.6706 0.6778
Y 0.1759 0.1759 0.4268
Y 0.1776 0.1776 0.9204
Y 0.5000 0.5000 0.5000
Y 0.8224 0.8224 0.0796
Y 0.8241 0.8241 0.5732
Ho 0.0000 0.0000 0.5000



Below is a relaxed structure of PmY5Ho, with properties calculated at the GGA-PBE level.

* SG: No. 15
* total magnetization: 0.000 μB/cell
* DFT total energy: -5.84 eV per atom

a = 6.5472 Å, b = 6.5472 Å, c = 11.5663 Å
α = 103.66°, β = 103.66°, γ = 95.45°
Atoms (fractional coordinates):
Pm 0.0000 0.5000 0.0000
Pm 0.5000 0.0000 0.5000
Y 0.0679 0.2729 0.5357
Y 0.0873 0.9127 0.2500
Y 0.2729 0.0679 0.0357
Y 0.3061 0.4463 0.3343
Y 0.4463 0.3061 0.8343
Y 0.5537 0.6939 0.1657
Y 0.6939 0.5537 0.6657
Y 0.7271 0.9321 0.9643
Y 0.9127 0.0873 0.7500
Y 0.9321 0.7271 0.4643
Ho 0.2573 0.7427 0.7500
Ho 0.7427 0.2573 0.2500



Below is a relaxed structure of PmY7Ho12, with properties calculated at the GGA-PBE level.

* distance to the lowest polymorph of the same formula: 481 meV per atom
* SG: No. 229
* total magnetization: 0.000 μB/cell

a = 9.7254 Å, b = 9.7254 Å, c = 9.7254 Å
α = 109.47°, β = 109.47°, γ = 109.47°
Atoms (fractional coordinates):
Pm 0.0000 0.0000 0.0000
Y 0.0000 0.0000 0.5000
Y 0.0000 0.5000 0.0000
Y 0.0000 0.5000 0.5000
Y 0.5000 0.0000 0.0000
Y 0.5000 0.0000 0.5000
Y 0.5000 0.5000 0.0000
Y 0.5000 0.5000 0.5000
Ho 0.0000 0.2538 0.7462
Ho 0.0000 0.7462 0.2538
Ho 0.2538 0.0000 0.7462
Ho 0.2538 0.2538 0.5075
Ho 0.2538 0.5075 0.2538
Ho 0.2538 0.7462 0.0000
Ho 0.4925 0.7462 0.7462
Ho 0.5075 0.2538 0.2538
Ho 0.7462 0.0000 0.2538
Ho 0.7462 0.2538 0.0000
Ho 0.7462 0.4925 0.7462
Ho 0.7462 0.7462 0.4925



Below is a relaxed structure of PmY6Ho5, with properties calculated at the GGA-PBE level.

* SG: No. 12
* total magnetization: 0.000 μB/cell
* DFT total energy: -5.51 eV per atom

a = 6.1589 Å, b = 6.1589 Å, c = 11.7967 Å
α = 94.97°, β = 94.97°, γ = 119.94°
Atoms (fractional coordinates):
Pm 0.0000 0.0000 0.0000
Y 0.0838 0.4176 0.2512
Y 0.2502 0.2502 0.7490
Y 0.4176 0.0838 0.2512
Y 0.5824 0.9162 0.7488
Y 0.7498 0.7498 0.2510
Y 0.9162 0.5824 0.7488
Ho 0.1669 0.8331 0.5000
Ho 0.3333 0.6667 0.0000
Ho 0.5000 0.5000 0.5000
Ho 0.6667 0.3333 0.0000
Ho 0.8331 0.1669 0.5000



Below is a relaxed structure of Pm7YHo12, with properties calculated at the GGA-PBE level.

* distance to the lowest polymorph of the same formula: 420 meV per atom
* SG: No. 229
* total magnetization: 0.000 μB/cell

a = 9.7599 Å, b = 9.7599 Å, c = 9.7599 Å
α = 109.47°, β = 109.47°, γ = 109.47°
Atoms (fractional coordinates):
Pm 0.0000 0.0000 0.5000
Pm 0.0000 0.5000 0.0000
Pm 0.0000 0.5000 0.5000
Pm 0.5000 0.0000 0.0000
Pm 0.5000 0.0000 0.5000
Pm 0.5000 0.5000 0.0000
Pm 0.5000 0.5000 0.5000
Y 0.0000 0.0000 0.0000
Ho 0.0000 0.2481 0.7519
Ho 0.0000 0.7519 0.2481
Ho 0.2481 0.0000 0.7519
Ho 0.2481 0.2481 0.4962
Ho 0.2481 0.4962 0.2481
Ho 0.2481 0.7519 0.0000
Ho 0.4962 0.2481 0.2481
Ho 0.5038 0.7519 0.7519
Ho 0.7519 0.0000 0.2481
Ho 0.7519 0.2481 0.0000
Ho 0.7519 0.5038 0.7519
Ho 0.7519 0.7519 0.5038



Below is a relaxed structure of Pm2YHo6, with properties calculated at the GGA-PBE level.

* SG: No. 71
* total magnetization: 0.000 μB/cell
* DFT total energy: -4.72 eV per atom

a = 9.7413 Å, b = 9.7413 Å, c = 9.7413 Å
α = 159.36°, β = 116.08°, γ = 67.95°
Atoms (fractional coordinates):
Pm 0.1566 0.1566 0.0000
Pm 0.8434 0.8434 0.0000
Y 0.5000 0.0000 0.5000
Ho 0.1558 0.8224 0.3333
Ho 0.1878 0.5000 0.6878
Ho 0.4891 0.8224 0.6667
Ho 0.5109 0.1776 0.3333
Ho 0.8122 0.5000 0.3122
Ho 0.8442 0.1776 0.6667



Repeat the first record exactly.
Below is a relaxed structure of Pm5Y5Ho, with properties calculated at the GGA-PBE level.

* distance to the lowest polymorph of the same formula: 0 meV per atom
* SG: No. 12
* total magnetization: 1.298 μB/cell

a = 9.9274 Å, b = 9.9274 Å, c = 6.9924 Å
α = 109.36°, β = 109.36°, γ = 35.49°
Atoms (fractional coordinates):
Pm 0.0000 0.0000 0.0000
Pm 0.3294 0.3294 0.3222
Pm 0.3754 0.3754 0.8676
Pm 0.6246 0.6246 0.1324
Pm 0.6706 0.6706 0.6778
Y 0.1759 0.1759 0.4268
Y 0.1776 0.1776 0.9204
Y 0.5000 0.5000 0.5000
Y 0.8224 0.8224 0.0796
Y 0.8241 0.8241 0.5732
Ho 0.0000 0.0000 0.5000